# Ca2CuHPd6 | the Alexandria database | PBE | optimized geometry
data_Ca2CuHPd6
_space_group_name_H-M_alt 'P -1'
_space_group_IT_number 2
_space_group_name_Hall '-P 1'
_cell_length_a 5.6860
_cell_length_b 5.6951
_cell_length_c 6.8764
_cell_angle_alpha 114.40
_cell_angle_beta 90.05
_cell_angle_gamma 119.88
loop_
_atom_site_label
_atom_site_fract_x
_atom_site_fract_y
_atom_site_fract_z
Ca1 0.2187 0.4364 0.1552
Cu1 0.5000 0.0000 0.0000
H1 0.0000 0.0000 0.5000
Pd1 0.2294 0.4605 0.6827
Pd2 0.2295 0.9557 0.6844
Pd3 0.2763 0.0455 0.3171
# Energy   -46.8 eV per cell
# Magnetic moment   0.00 Bohr magnetons per cell